Entry from Alexandria via LeMat-Bulk: Li2GaAsF at its PBEsol-relaxed geometry (SCAN).

Computed properties:
ΔE_f (raw): -0.326 eV per atom
symmetry: P4/mmm
total moment: 0.0 μB per formula unit

Cell lengths 3.8712, 5.1437, 5.1437 Å; angles 90.00, 90.00, 90.00 degrees
Last column: nearest neighbours and their distance in Å.
Fractional coordinates of all 5 atoms:
Li  0.0000  0.0000  0.5000  2 Ga 2.57
As  0.5000  0.5000  0.5000  8 Li 3.22
Ga  0.0000  0.0000  0.0000  2 F 1.94
Li  0.0000  0.5000  0.0000  2 Ga 2.57
F  0.5000  0.0000  0.0000  2 Ga 1.94